VASP calculation (PBE) on an optimized crystal structure of Ac2Ag2PbO6.

```
data_Ac2Ag2PbO6
_cell_length_a 6.470
_cell_length_b 6.470
_cell_length_c 6.579
_cell_angle_alpha 60.55
_cell_angle_beta 60.55
_cell_angle_gamma 60.00
_symmetry_space_group_name_H-M 'P 1'
_symmetry_Int_Tables_number 1
_symmetry_space_group_name_Hall 'P 1'
loop_
_atom_site_label
_atom_site_fract_x
_atom_site_fract_y
_atom_site_fract_z
Ac1 0.792 0.792 0.624
Ac2 0.208 0.208 0.376
Ag1 0.410 0.410 0.769
Ag2 0.590 0.590 0.231
Pb1 0.000 0.000 0.000
O1 0.764 0.764 0.285
O2 0.188 0.764 0.285
O3 0.764 0.188 0.285
O4 0.236 0.812 0.715
O5 0.812 0.236 0.715
O6 0.236 0.236 0.715
```

Formation energy without anion corrections: -16.24 eV per formula unit
Spin magnetization: 0.0 μB/cell
V: 196.32 Å³ per cell

VASP calculation (PBE) on an optimized crystal structure of In2ReAu.

```
data_In2ReAu
_cell_length_a 4.737
_cell_length_b 4.737
_cell_length_c 4.737
_cell_angle_alpha 60.00
_cell_angle_beta 60.00
_cell_angle_gamma 60.00
_symmetry_space_group_name_H-M 'P 1'
_symmetry_Int_Tables_number 1
_symmetry_space_group_name_Hall 'P 1'
loop_
_atom_site_label
_atom_site_fract_x
_atom_site_fract_y
_atom_site_fract_z
Re1 0.000 0.000 0.000
Au1 0.500 0.500 0.500
In1 0.250 0.250 0.250
In2 0.750 0.750 0.750
```

Distance to the lowest polymorph of the same formula: 0.190 eV/atom
Spin magnetization: 0.0 μB/cell
V: 75.14 Å³ per cell

VASP calculation (PBE) on an optimized crystal structure of TbYCd.

```
data_TbYCd
_cell_length_a 5.159
_cell_length_b 5.159
_cell_length_c 5.158
_cell_angle_alpha 90.25
_cell_angle_beta 119.86
_cell_angle_gamma 119.86
_symmetry_space_group_name_H-M 'P 1'
_symmetry_Int_Tables_number 1
_symmetry_space_group_name_Hall 'P 1'
loop_
_atom_site_label
_atom_site_fract_x
_atom_site_fract_y
_atom_site_fract_z
Tb1 0.944 0.472 0.417
Y1 0.944 0.972 0.917
Cd1 0.444 0.222 0.667
```

Distance to the lowest polymorph of the same formula: 0.285 eV/atom
Spin magnetization: 0.0 μB/cell
V: 97.25 Å³ per cell

VASP calculation (PBE) on an optimized crystal structure of MgTlS2N.

```
data_MgTlS2N
_cell_length_a 5.035
_cell_length_b 5.035
_cell_length_c 4.118
_cell_angle_alpha 90.00
_cell_angle_beta 90.00
_cell_angle_gamma 90.00
_symmetry_space_group_name_H-M 'P 1'
_symmetry_Int_Tables_number 1
_symmetry_space_group_name_Hall 'P 1'
loop_
_atom_site_label
_atom_site_fract_x
_atom_site_fract_y
_atom_site_fract_z
Mg1 0.000 0.000 0.000
Tl1 0.500 0.500 0.500
S1 0.000 0.500 0.000
S2 0.500 0.000 0.000
N1 0.000 0.000 0.500
```

Distance to the lowest polymorph of the same formula: 0.000 eV/atom
Formation energy without anion corrections: 2.45 eV per formula unit
Spin magnetization: 2.6 μB/cell
V: 104.37 Å³ per cell

VASP calculation (PBE) on an optimized crystal structure of Rb2SiH.

```
data_Rb2SiH
_cell_length_a 5.881
_cell_length_b 5.881
_cell_length_c 5.881
_cell_angle_alpha 60.00
_cell_angle_beta 60.00
_cell_angle_gamma 60.00
_symmetry_space_group_name_H-M 'P 1'
_symmetry_Int_Tables_number 1
_symmetry_space_group_name_Hall 'P 1'
loop_
_atom_site_label
_atom_site_fract_x
_atom_site_fract_y
_atom_site_fract_z
H1 0.000 0.000 0.000
Si1 0.500 0.500 0.500
Rb1 0.250 0.250 0.250
Rb2 0.750 0.750 0.750
```

Distance to the lowest polymorph of the same formula: 0.007 eV/atom
Spin magnetization: 3.0 μB/cell
V: 143.84 Å³ per cell

VASP calculation (PBE) on an optimized crystal structure of Tl2TePt.

```
data_Tl2TePt
_cell_length_a 6.302
_cell_length_b 6.302
_cell_length_c 6.302
_cell_angle_alpha 140.22
_cell_angle_beta 140.22
_cell_angle_gamma 57.51
_symmetry_space_group_name_H-M 'P 1'
_symmetry_Int_Tables_number 1
_symmetry_space_group_name_Hall 'P 1'
loop_
_atom_site_label
_atom_site_fract_x
_atom_site_fract_y
_atom_site_fract_z
Pt1 0.250 0.750 0.500
Te1 0.750 0.250 0.500
Tl1 0.000 0.000 0.000
Tl2 0.500 0.500 0.000
```

Distance to the lowest polymorph of the same formula: 0.300 eV/atom
Formation energy without anion corrections: 0.43 eV per formula unit
Spin magnetization: 0.0 μB/cell
V: 101.55 Å³ per cell